DFT (PBE-GGA) results for a relaxed LiGaBPb2 crystal.

Cell: 5.528 3.870 5.528 Å, 90.00 90.00 90.00°
Element x y z (fractional)
Pb 0.000 0.000 0.500
Pb 0.500 0.000 0.000
B 0.000 0.000 0.000
Ga 0.000 0.500 0.000
Li 0.500 0.500 0.500

DFT formation energy   0.369 eV/atom
Density   7.048 g cm⁻³
Crystal system   tetragonal

---

DFT (PBE-GGA) results for a relaxed Cu2RuBr crystal.

Cell: 4.875 4.875 4.875 Å, 133.60 133.60 67.72°
Element x y z (fractional)
Br 0.750 0.250 0.500
Cu 0.000 0.000 0.000
Cu 0.250 0.750 0.500
Ru 0.500 0.500 0.000

Density   8.564 g cm⁻³
Crystal system   tetragonal
Raw formation energy   3.07 eV per formula unit

---

DFT (PBE-GGA) results for a relaxed Zn2IrRu crystal.

Cell: 2.783 2.783 8.630 Å, 80.59 80.59 59.85°
Element x y z (fractional)
Zn 0.084 0.084 0.750
Zn 0.251 0.251 0.250
Ir 0.666 0.666 0.000
Ru 0.500 0.500 0.500

DFT formation energy   -0.041 eV/atom
Density   12.410 g cm⁻³
Crystal system   monoclinic

---

DFT (PBE-GGA) results for a relaxed ErTmSc2 crystal.

Cell: 3.312 3.312 11.948 Å, 82.03 82.03 60.00°
Element x y z (fractional)
Sc 0.090 0.090 0.730
Sc 0.910 0.910 0.270
Tm 0.500 0.500 0.500
Er 0.000 0.000 0.000

DFT formation energy   0.236 eV/atom
Density   6.315 g cm⁻³
Crystal system   trigonal

---

DFT (PBE-GGA) results for a relaxed NaCr2Ni2 crystal.

Cell: 7.378 7.378 2.431 Å, 90.00 90.00 90.00°
Element x y z (fractional)
Ni 0.177 0.677 0.500
Ni 0.677 0.823 0.500
Ni 0.823 0.323 0.500
Ni 0.323 0.177 0.500
Na 0.000 0.000 0.000
Na 0.500 0.500 0.000
Cr 0.389 0.889 0.000
Cr 0.889 0.611 0.000
Cr 0.611 0.111 0.000
Cr 0.111 0.389 0.000

DFT formation energy   0.353 eV/atom
Density   6.133 g cm⁻³
Crystal system   tetragonal

---

DFT (PBE-GGA) results for a relaxed Na3Hg3Au crystal.

Cell: 7.405 7.405 6.591 Å, 89.96 89.96 89.85°
Element x y z (fractional)
Na 0.996 0.996 0.759
Na 0.491 0.007 0.240
Na 0.007 0.491 0.240
Na 0.509 0.993 0.760
Na 0.993 0.509 0.760
Na 0.004 0.004 0.241
Hg 0.272 0.272 0.518
Hg 0.304 0.696 0.500
Hg 0.696 0.304 0.500
Hg 0.342 0.658 0.000
Hg 0.658 0.342 0.000
Hg 0.728 0.728 0.482
Au 0.256 0.256 0.984
Au 0.744 0.744 0.016

DFT formation energy   -0.226 eV/atom
Density   7.974 g cm⁻³
Crystal system   monoclinic